NdSmSi2Os2: relaxed, PBE.

Summary:
Electronic total energy, eV for the cell shown: -46.61

a = 4.2002 Å, b = 4.2002 Å, c = 6.9605 Å
α = 90.00°, β = 90.00°, γ = 90.00°
Closest atoms and distances in Å follow each position.
Atoms (fractional coordinates):
Nd  0.0000  0.0000  0.0000  4 Os 3.10, 5 Si 3.14-3.43
Sm  0.5000  0.5000  0.6479  4 Os 3.06, 4 Si 3.13
Si  0.0000  0.0000  0.5070  4 Os 2.44
Si  0.5000  0.5000  0.1476  4 Os 2.45
Os  0.0000  0.5000  0.3279  4 Si 2.44-2.45
Os  0.5000  0.0000  0.3279  4 Si 2.44-2.45